Below is a relaxed Nd2Cd3In3 crystal, with properties calculated at the PBE level.

Space-group type   Pmmm (47)
Energy of formation   -3.12 eV/f.u.

a b c (Å): 4.6245 4.6809 9.5139
angles (deg): 90.00 90.00 90.00
Positions (direct):
1 Nd 0.0000 0.0000 0.2473
2 Nd 0.0000 0.0000 0.7527
3 Cd 0.0000 0.5000 0.0000
4 Cd 0.0000 0.5000 0.5000
5 Cd 0.5000 0.0000 0.5000
6 In 0.5000 0.0000 0.0000
7 In 0.5000 0.5000 0.2533
8 In 0.5000 0.5000 0.7467

=====

Below is a relaxed Nd3CdIn crystal, with properties calculated at the PBE level.

Energy above the lowest structure with this stoichiometry   0.1400 eV/atom
Space-group type   Pmmn (59)
Energy of formation   -0.83 eV/f.u.

a b c (Å): 5.0319 7.0525 9.3173
angles (deg): 90.00 90.00 90.00
Positions (direct):
1 Nd 0.2500 0.0065 0.2070
2 Nd 0.2500 0.2500 0.5657
3 Nd 0.2500 0.4935 0.2070
4 Nd 0.7500 0.5065 0.7930
5 Nd 0.7500 0.7500 0.4343
6 Nd 0.7500 0.9935 0.7930
7 Cd 0.2500 0.2500 0.9121
8 Cd 0.7500 0.7500 0.0879
9 In 0.2500 0.7500 0.6426
10 In 0.7500 0.2500 0.3574

=====

Below is a relaxed NdCd2In3 crystal, with properties calculated at the PBE level.

Space-group type   Cmmm (65)
Energy of formation   -1.58 eV/f.u.

a b c (Å): 7.3774 7.3774 4.6558
angles (deg): 90.00 90.00 143.19
Positions (direct):
1 Nd 0.0000 0.0000 0.0000
2 Cd 0.3249 0.6751 0.0000
3 Cd 0.6751 0.3249 0.0000
4 In 0.1708 0.8292 0.5000
5 In 0.5000 0.5000 0.5000
6 In 0.8292 0.1708 0.5000

=====

Below is a relaxed Nd3Cd2In crystal, with properties calculated at the PBE level.

Energy above the lowest structure with this stoichiometry   0.0000 eV/atom
Space-group type   Cmmm (65)
Energy of formation   -2.24 eV/f.u.

a b c (Å): 8.6614 8.6614 3.8703
angles (deg): 90.00 90.00 143.29
Positions (direct):
1 Nd 0.0000 0.0000 0.0000
2 Nd 0.3338 0.6662 0.0000
3 Nd 0.6662 0.3338 0.0000
4 Cd 0.1687 0.8313 0.5000
5 Cd 0.8313 0.1687 0.5000
6 In 0.5000 0.5000 0.5000

=====

Q: Among the records above, which one has the lowest energy of formation?
A: Nd2Cd3In3

=====

Q: Look up the energy of formation of the second one.
A: -0.83 eV/f.u.

=====

What did the third record say?
Below is a relaxed NdCd2In3 crystal, with properties calculated at the PBE level.

Space-group type   Cmmm (65)
Energy of formation   -1.58 eV/f.u.

a b c (Å): 7.3774 7.3774 4.6558
angles (deg): 90.00 90.00 143.19
Positions (direct):
1 Nd 0.0000 0.0000 0.0000
2 Cd 0.3249 0.6751 0.0000
3 Cd 0.6751 0.3249 0.0000
4 In 0.1708 0.8292 0.5000
5 In 0.5000 0.5000 0.5000
6 In 0.8292 0.1708 0.5000